Entry 1:
The following is a DFT calculation (PBE) of crystalline Pm5Co2Pd at its relaxed geometry.

Geometry as POSCAR:
```
Pm5Co2Pd
1.0
-3.7905 3.7905 6.8452
3.7905 -3.7905 6.8452
3.7905 3.7905 -6.8452
Pm Co Pd
10 4 2
direct
0.0000 0.0000 0.0000
0.0301 0.5301 0.8331
0.1970 0.0301 0.5000
0.3030 0.8030 0.8331
0.4699 0.3030 0.5000
0.5000 0.5000 0.0000
0.5301 0.6970 0.5000
0.6970 0.1970 0.1669
0.8030 0.9699 0.5000
0.9699 0.4699 0.1669
0.1272 0.3728 0.5000
0.3728 0.8728 0.2456
0.6272 0.1272 0.7544
0.8728 0.6272 0.5000
0.2500 0.2500 0.0000
0.7500 0.7500 0.0000
```

## Properties
magnetic moment = 0.00 μB/cell
formation energy from the elements = -0.26 eV per atom


Entry 2:
The following is a DFT calculation (PBE) of crystalline YErSbTe at its relaxed geometry.

Geometry as POSCAR:
```
YErSbTe
1.0
2.1395 1.2352 7.4985
-2.1395 1.2352 7.4985
0.0000 -2.4704 7.4985
Y Er Sb Te
1 1 1 1
direct
0.0000 0.0000 0.0000
0.8217 0.8217 0.8217
0.4135 0.4135 0.4135
0.2422 0.2422 0.2422
```

## Properties
magnetic moment = 0.00 μB/cell
electronic total energy = -5.775 eV per atom


Entry 3:
The following is a DFT calculation (PBE) of crystalline V3BiI at its relaxed geometry.

Geometry as POSCAR:
```
V3BiI
1.0
5.3651 0.0000 0.0000
0.0000 5.3651 0.0000
0.0000 0.0000 5.3651
V Bi I
3 1 1
direct
0.0000 0.0000 0.5000
0.0000 0.5000 0.0000
0.5000 0.0000 0.0000
0.0000 0.0000 0.0000
0.5000 0.5000 0.5000
```

## Properties
magnetic moment = 10.99 μB/cell
E above lowest polymorph = 0.000 eV per atom


Entry 4:
The following is a DFT calculation (PBE) of crystalline Pa2CdIn8 at its relaxed geometry.

Geometry as POSCAR:
```
Pa2CdIn8
1.0
4.7745 0.0000 0.0000
0.0000 4.7745 0.0000
0.0000 0.0000 12.3991
Pa Cd In
2 1 8
direct
0.0000 0.0000 0.1813
0.0000 0.0000 0.8187
0.0000 0.0000 0.5000
0.0000 0.5000 0.0000
0.0000 0.5000 0.3590
0.0000 0.5000 0.6410
0.5000 0.0000 0.0000
0.5000 0.0000 0.3590
0.5000 0.0000 0.6410
0.5000 0.5000 0.1787
0.5000 0.5000 0.8213
```

## Properties
magnetic moment = 1.16 μB/cell
formation energy from the elements = -0.04 eV per atom


Entry 5:
The following is a DFT calculation (PBE) of crystalline ZrTi3C2 at its relaxed geometry.

Geometry as POSCAR:
```
ZrTi3C2
1.0
6.2563 0.0000 0.0000
-3.1282 5.4181 0.0000
0.0000 0.0000 5.1092
Zr Ti C
2 6 4
direct
0.3333 0.6667 0.2316
0.6667 0.3333 0.7684
0.1674 0.3348 0.7221
0.1674 0.8326 0.7221
0.3348 0.1674 0.2779
0.6652 0.8326 0.7221
0.8326 0.1674 0.2779
0.8326 0.6652 0.2779
0.0000 0.0000 0.5000
0.0000 0.5000 0.5000
0.5000 0.0000 0.5000
0.5000 0.5000 0.5000
```

## Properties
magnetic moment = 0.00 μB/cell
formation energy from the elements = -0.56 eV per atom


Entry 6:
The following is a DFT calculation (PBE) of crystalline Ge2PdSe at its relaxed geometry.

Geometry as POSCAR:
```
Ge2PdSe
1.0
1.9829 1.1448 7.0453
-1.9829 1.1448 7.0453
0.0000 -2.2896 7.0453
Ge Pd Se
2 1 1
direct
0.1119 0.1119 0.1119
0.8881 0.8881 0.8881
0.5000 0.5000 0.5000
0.0000 0.0000 0.0000
```

## Properties
magnetic moment = 0.00 μB/cell
electronic total energy = -4.495 eV per atom


magnetic moment of number 1 (Pm5Co2Pd)? 0.00 μB/cell


Which value of magnetic moment does entry 2 give? 0.00 μB/cell